[1]
Below is a geometry-optimized TiH8C4NO10 structure, with properties calculated at the PBE level.

Calculated total energy   -6.571 eV/atom

abc: 8.980 8.980 10.979
angles: 90.00 90.00 120.00
Positions (direct):
Ti  0.500  0.000  0.833
Ti  0.500  0.500  0.500
Ti  0.000  0.500  0.167
H  0.025  0.105  0.555
H  0.361  0.101  0.347
H  0.920  0.895  0.112
H  0.260  0.899  0.320
H  0.899  0.639  0.653
H  0.975  0.080  0.779
H  0.920  0.025  0.221
H  0.975  0.895  0.555
H  0.080  0.105  0.112
H  0.639  0.899  0.347
H  0.895  0.975  0.445
H  0.740  0.639  0.013
H  0.101  0.361  0.653
H  0.899  0.260  0.680
H  0.260  0.361  0.013
H  0.895  0.920  0.888
H  0.080  0.975  0.221
H  0.105  0.025  0.445
H  0.639  0.740  0.987
H  0.101  0.740  0.680
H  0.105  0.080  0.888
H  0.361  0.260  0.987
H  0.740  0.101  0.320
H  0.025  0.920  0.779
C  0.785  0.569  0.333
C  0.377  0.688  0.667
C  0.215  0.431  0.333
C  0.785  0.215  0.000
C  0.312  0.623  0.333
C  0.688  0.312  0.000
C  0.215  0.785  0.000
C  0.312  0.688  0.000
C  0.688  0.377  0.333
C  0.569  0.785  0.667
C  0.623  0.312  0.667
C  0.431  0.215  0.667
N  0.000  0.000  0.833
N  0.000  0.000  0.500
N  0.000  0.000  0.167
O  0.759  0.306  0.275
O  0.759  0.453  0.058
O  0.279  0.923  0.938
O  0.246  0.000  0.333
O  0.453  0.694  0.391
O  0.694  0.241  0.725
O  0.356  0.279  0.605
O  0.306  0.547  0.609
O  0.000  0.246  0.667
O  0.356  0.077  0.729
O  0.547  0.241  0.942
O  0.279  0.356  0.395
O  0.077  0.721  0.062
O  0.644  0.721  0.605
O  0.923  0.644  0.271
O  0.547  0.306  0.391
O  0.246  0.246  0.000
O  0.241  0.547  0.058
O  0.754  0.000  0.333
O  0.000  0.754  0.667
O  0.721  0.077  0.938
O  0.721  0.644  0.395
O  0.923  0.279  0.062
O  0.306  0.759  0.725
O  0.453  0.759  0.942
O  0.754  0.754  0.000
O  0.644  0.923  0.729
O  0.694  0.453  0.609
O  0.241  0.694  0.275
O  0.077  0.356  0.271

=====

[2]
Below is a geometry-optimized Sm2InHg8 structure, with properties calculated at the PBE level.

DFT formation energy   -259 meV per atom

abc: 4.712 4.712 12.855
angles: 90.00 90.00 90.00
Positions (direct):
Sm  0.000  0.000  0.316
Sm  0.000  0.000  0.684
In  0.000  0.000  0.000
Hg  0.000  0.500  0.500
Hg  0.500  0.000  0.500
Hg  0.500  0.500  0.319
Hg  0.500  0.500  0.681
Hg  0.000  0.500  0.143
Hg  0.500  0.000  0.143
Hg  0.000  0.500  0.857
Hg  0.500  0.000  0.857

=====

[3]
Below is a geometry-optimized Y2ScMn structure, with properties calculated at the PBE level.

DFT formation energy   197 meV per atom
Energy relative to the lowest polymorph listed for this composition   0.34 eV/f.u.

abc: 6.058 6.058 5.145
angles: 64.85 64.85 36.42
Positions (direct):
Mn  0.250  0.250  0.250
Sc  0.750  0.750  0.750
Y  0.959  0.959  0.041
Y  0.541  0.541  0.459

=====

[4]
Below is a geometry-optimized NdB2Ru structure, with properties calculated at the PBE level.

DFT formation energy   -163 meV per atom
Energy relative to the lowest polymorph listed for this composition   0.30 eV/f.u.

abc: 3.690 3.690 5.354
angles: 69.84 69.84 60.00
Positions (direct):
Ru  0.000  0.000  0.000
B  0.300  0.300  0.101
B  0.700  0.700  0.899
Nd  0.500  0.500  0.500

=====

[5]
Below is a geometry-optimized Ac2PrSb3Pd6 structure, with properties calculated at the PBE level.

E_form (uncorrected)   -569 meV/atom

abc: 4.409 4.409 16.941
angles: 90.00 90.00 90.00
Positions (direct):
Ac  0.500  0.500  0.198
Ac  0.500  0.500  0.802
Pr  0.500  0.500  0.500
Sb  0.000  0.000  0.299
Sb  0.000  0.000  0.701
Sb  0.000  0.000  0.000
Pd  0.000  0.500  0.618
Pd  0.500  0.000  0.382
Pd  0.500  0.000  0.618
Pd  0.000  0.000  0.147
Pd  0.000  0.500  0.382
Pd  0.000  0.000  0.853

=====

[6]
Below is a geometry-optimized Pm4HfIr3 structure, with properties calculated at the PBE level.

DFT formation energy   -656 meV per atom

abc: 6.104 8.472 8.472
angles: 82.54 68.89 68.89
Positions (direct):
Ir  0.750  0.000  0.000
Ir  0.250  0.000  0.000
Ir  0.360  0.780  0.500
Ir  0.640  0.220  0.500
Ir  0.140  0.500  0.220
Ir  0.860  0.500  0.780
Hf  0.750  0.500  0.500
Hf  0.250  0.500  0.500
Pm  0.418  0.296  0.869
Pm  0.582  0.704  0.131
Pm  0.713  0.869  0.704
Pm  0.082  0.131  0.704
Pm  0.287  0.131  0.296
Pm  0.918  0.869  0.296
Pm  0.787  0.296  0.131
Pm  0.213  0.704  0.869

=====

[7]
Below is a geometry-optimized Rb2ReNiSe structure, with properties calculated at the PBE level.

E_form (uncorrected)   1070 meV/atom

abc: 6.929 4.635 6.929
angles: 90.00 90.00 90.00
Positions (direct):
Re  0.000  0.000  0.000
Se  0.000  0.500  0.000
Rb  0.000  0.000  0.500
Rb  0.500  0.000  0.000
Ni  0.500  0.500  0.500

=====

[8]
Below is a geometry-optimized DyPu2Ge3Pt4 structure, with properties calculated at the PBE level.

DFT formation energy   -759 meV per atom

abc: 4.212 4.212 11.472
angles: 90.00 90.00 90.00
Positions (direct):
Dy  0.500  0.500  0.500
Pu  0.500  0.000  0.230
Pu  0.000  0.500  0.770
Ge  0.000  0.000  0.500
Ge  0.500  0.000  0.875
Ge  0.000  0.500  0.125
Pt  0.500  0.500  0.000
Pt  0.000  0.000  0.000
Pt  0.500  0.000  0.660
Pt  0.000  0.500  0.340